(1)
DFT (PBE) results for crystalline BaPu2PdN4 at its relaxed geometry.

The structure in POSCAR format:
```
BaPu2PdN4
1.0
1.7964 -5.9049 0.0000
1.7964 5.9049 0.0000
0.0000 0.0000 12.0178
Ba Pu Pd N
2 4 2 8
Direct
0.0943 0.9057 0.7500
0.9057 0.0943 0.2500
0.3673 0.6327 0.5556
0.3673 0.6327 0.9444
0.6327 0.3673 0.0556
0.6327 0.3673 0.4444
0.1776 0.8224 0.2500
0.8224 0.1776 0.7500
0.0000 0.0000 0.0000
0.0000 0.0000 0.5000
0.2508 0.7492 0.0872
0.2508 0.7492 0.4128
0.4176 0.5824 0.7500
0.5824 0.4176 0.2500
0.7492 0.2508 0.5872
0.7492 0.2508 0.9128
```

Computed properties:
density = 10262 kg/m³
space group = Cmcm, No. 63
energy = -9.385 eV per atom
formation energy without anion corrections = -749.9 meV per atom

(2)
DFT (PBE) results for crystalline HoErMnAl at its relaxed geometry.

The structure in POSCAR format:
```
HoErMnAl
1.0
7.1289 0.0000 0.0000
0.0000 7.1289 0.0000
0.0000 0.0000 7.1289
Ho Er Mn Al
4 4 4 4
Direct
0.0000 0.0000 0.0000
0.0000 0.5000 0.5000
0.5000 0.0000 0.5000
0.5000 0.5000 0.0000
0.0000 0.0000 0.5000
0.0000 0.5000 0.0000
0.5000 0.0000 0.0000
0.5000 0.5000 0.5000
0.2500 0.2500 0.2500
0.2500 0.7500 0.7500
0.7500 0.2500 0.7500
0.7500 0.7500 0.2500
0.2500 0.2500 0.7500
0.2500 0.7500 0.2500
0.7500 0.2500 0.2500
0.7500 0.7500 0.7500
```

Computed properties:
ΔE_f = -85 meV per atom
density = 7592 kg/m³
space group = F-43m, No. 216
energy = -5.598 eV per atom

(3)
DFT (PBE) results for crystalline BaLi2In at its relaxed geometry.

The structure in POSCAR format:
```
BaLi2In
1.0
5.3772 0.0000 0.0000
0.0000 4.2148 0.0000
-0.0350 0.0000 5.7028
Ba Li In
1 2 1
Direct
0.0000 0.0000 0.0000
0.5000 0.0000 0.5000
0.5000 0.5000 0.0000
0.0000 0.5000 0.5000
```

Computed properties:
ΔE_f = -2 meV per atom
density = 3418 kg/m³
space group = P2/m, No. 10
energy = -2.124 eV per atom

> What is the formula in the third record?

BaLi2In

> Which of these has the lowest density?

BaLi2In

> Which formula does entry 2 have?

HoErMnAl

> The lowest energy belongs to which entry?

BaPu2PdN4